# GGA-PBE Tb4Y4Tm3, relaxed
# uncorrected energy	-5.126	eV/atom
# calculated formation energy	128	meV/atom
# ΔE to the lowest computed polymorph	70	meV/atom
# total magnetization	0.00	Bohr magnetons per cell
data_Tb4Y4Tm3
_cell_length_a 3.580
_cell_length_b 9.196
_cell_length_c 11.963
_cell_angle_alpha 112.60
_cell_angle_beta 98.60
_cell_angle_gamma 90.00
_symmetry_space_group_name_H-M 'P 1'
_symmetry_Int_Tables_number 1
loop_
_symmetry_equiv_pos_as_xyz
'x,y,z'
loop_
_atom_site_label
_atom_site_type_symbol
_atom_site_fract_x
_atom_site_fract_y
_atom_site_fract_z
Tb1 Tb 0.641 0.462 0.283
Tb2 Tb 0.359 0.179 0.717
Y1 Y 0.500 0.817 0.000
Tm1 Tm 0.000 0.500 0.000
Y2 Y 0.743 0.243 0.485
Tm2 Tm 0.891 0.891 0.782
Tm3 Tm 0.109 0.109 0.218
Tb3 Tb 0.641 0.821 0.283
Y3 Y 0.257 0.757 0.515
Y4 Y 0.500 0.183 0.000
Tb4 Tb 0.359 0.538 0.717

# GGA-PBE TbY2Tm7, relaxed
# uncorrected energy	-4.761	eV/atom
# calculated formation energy	125	meV/atom
# ΔE to the lowest computed polymorph	0	meV/atom
# total magnetization	0.00	Bohr magnetons per cell
data_TbY2Tm7
_cell_length_a 3.470
_cell_length_b 15.038
_cell_length_c 15.038
_cell_angle_alpha 156.76
_cell_angle_beta 90.12
_cell_angle_gamma 90.12
_symmetry_space_group_name_H-M 'P 1'
_symmetry_Int_Tables_number 1
loop_
_symmetry_equiv_pos_as_xyz
'x,y,z'
loop_
_atom_site_label
_atom_site_type_symbol
_atom_site_fract_x
_atom_site_fract_y
_atom_site_fract_z
Tm1 Tm 0.732 0.654 0.853
Tm2 Tm 0.500 0.500 0.500
Tm3 Tm 0.268 0.147 0.346
Tm4 Tm 0.732 0.853 0.654
Y1 Y 0.500 0.792 0.208
Tm5 Tm 0.268 0.346 0.147
Tb1 Tb 0.000 0.000 0.000
Tm6 Tm 0.000 0.309 0.691
Y2 Y 0.500 0.208 0.792
Tm7 Tm 0.000 0.691 0.309

# GGA-PBE Tb7Y3Tm2, relaxed
# uncorrected energy	-4.975	eV/atom
# calculated formation energy	87	meV/atom
# ΔE to the lowest computed polymorph	0	meV/atom
# total magnetization	0.00	Bohr magnetons per cell
data_Tb7Y3Tm2
_cell_length_a 3.575
_cell_length_b 5.779
_cell_length_c 18.640
_cell_angle_alpha 93.60
_cell_angle_beta 90.00
_cell_angle_gamma 90.00
_symmetry_space_group_name_H-M 'P 1'
_symmetry_Int_Tables_number 1
loop_
_symmetry_equiv_pos_as_xyz
'x,y,z'
loop_
_atom_site_label
_atom_site_type_symbol
_atom_site_fract_x
_atom_site_fract_y
_atom_site_fract_z
Tb1 Tb 0.500 0.258 0.536
Tm1 Tm 0.500 0.708 0.295
Tb2 Tb 0.500 0.815 0.820
Y1 Y 0.000 0.780 0.633
Y2 Y 0.000 0.220 0.367
Tb3 Tb 0.500 0.742 0.464
Tb4 Tb 0.500 0.185 0.180
Tb5 Tb 0.000 0.684 0.145
Tb6 Tb 0.000 0.316 0.855
Y3 Y 0.500 0.500 0.000
Tm2 Tm 0.500 0.292 0.705
Tb7 Tb 0.000 0.000 0.000

# GGA-PBE Tb2Y7Tm2, relaxed
# uncorrected energy	-5.665	eV/atom
# calculated formation energy	103	meV/atom
# ΔE to the lowest computed polymorph	0	meV/atom
# total magnetization	0.00	Bohr magnetons per cell
data_Tb2Y7Tm2
_cell_length_a 8.623
_cell_length_b 6.512
_cell_length_c 6.512
_cell_angle_alpha 92.83
_cell_angle_beta 82.07
_cell_angle_gamma 82.07
_symmetry_space_group_name_H-M 'P 1'
_symmetry_Int_Tables_number 1
loop_
_symmetry_equiv_pos_as_xyz
'x,y,z'
loop_
_atom_site_label
_atom_site_type_symbol
_atom_site_fract_x
_atom_site_fract_y
_atom_site_fract_z
Y1 Y 0.207 0.082 0.450
Tm1 Tm 0.145 0.604 0.604
Y2 Y 0.000 0.000 0.000
Y3 Y 0.207 0.450 0.082
Tb1 Tb 0.500 0.323 0.677
Y4 Y 0.409 0.846 0.846
Tb2 Tb 0.500 0.677 0.323
Y5 Y 0.793 0.550 0.918
Y6 Y 0.793 0.918 0.550
Tm2 Tm 0.855 0.396 0.396
Y7 Y 0.591 0.154 0.154

# GGA-PBE Tb7YTm12, relaxed
# uncorrected energy	-3.900	eV/atom
# calculated formation energy	726	meV/atom
# ΔE to the lowest computed polymorph	486	meV/atom
# total magnetization	0.00	Bohr magnetons per cell
data_Tb7YTm12
_cell_length_a 9.631
_cell_length_b 9.631
_cell_length_c 9.631
_cell_angle_alpha 109.47
_cell_angle_beta 109.47
_cell_angle_gamma 109.47
_symmetry_space_group_name_H-M 'P 1'
_symmetry_Int_Tables_number 1
loop_
_symmetry_equiv_pos_as_xyz
'x,y,z'
loop_
_atom_site_label
_atom_site_type_symbol
_atom_site_fract_x
_atom_site_fract_y
_atom_site_fract_z
Tm1 Tm 0.749 0.999 0.250
Tm2 Tm 0.750 0.749 0.499
Tb1 Tb 0.500 0.500 0.000
Tb2 Tb 0.000 0.500 0.500
Tm3 Tm 0.250 0.749 0.999
Tb3 Tb 0.500 0.500 0.500
Tm4 Tm 0.250 0.251 0.501
Y1 Y 0.000 0.000 0.000
Tm5 Tm 0.501 0.250 0.251
Tb4 Tb 0.500 0.000 0.500
Tm6 Tm 0.251 0.001 0.750
Tb5 Tb 0.000 0.500 0.000
Tm7 Tm 0.001 0.750 0.251
Tm8 Tm 0.251 0.501 0.250
Tb6 Tb 0.500 0.000 0.000
Tb7 Tb 0.000 0.000 0.500
Tm9 Tm 0.499 0.750 0.749
Tm10 Tm 0.750 0.251 0.001
Tm11 Tm 0.749 0.499 0.750
Tm12 Tm 0.999 0.250 0.749

# GGA-PBE Tb5Y2Tm12, relaxed
# uncorrected energy	-4.435	eV/atom
# calculated formation energy	288	meV/atom
# ΔE to the lowest computed polymorph	263	meV/atom
# total magnetization	0.00	Bohr magnetons per cell
data_Tb5Y2Tm12
_cell_length_a 7.003
_cell_length_b 9.127
_cell_length_c 10.614
_cell_angle_alpha 100.25
_cell_angle_beta 90.00
_cell_angle_gamma 112.56
_symmetry_space_group_name_H-M 'P 1'
_symmetry_Int_Tables_number 1
loop_
_symmetry_equiv_pos_as_xyz
'x,y,z'
loop_
_atom_site_label
_atom_site_type_symbol
_atom_site_fract_x
_atom_site_fract_y
_atom_site_fract_z
Tm1 Tm 0.454 0.908 0.634
Tm2 Tm 0.967 0.933 0.754
Tm3 Tm 0.876 0.262 0.725
Tb1 Tb 0.759 0.517 0.508
Tb2 Tb 0.241 0.483 0.492
Tm4 Tm 0.908 0.356 0.224
Y1 Y 0.733 0.000 0.000
Tb3 Tb 0.775 0.549 0.003
Y2 Y 0.267 0.000 0.000
Tm5 Tm 0.552 0.644 0.776
Tm6 Tm 0.546 0.092 0.366
Tm7 Tm 0.033 0.067 0.246
Tb4 Tb 0.225 0.451 0.997
Tm8 Tm 0.614 0.738 0.275
Tm9 Tm 0.386 0.262 0.725
Tm10 Tm 0.448 0.356 0.224
Tm11 Tm 0.124 0.738 0.275
Tm12 Tm 0.092 0.644 0.776
Tb5 Tb 0.000 0.000 0.500

# GGA-PBE TbY3Tm2, relaxed
# uncorrected energy	-5.467	eV/atom
# calculated formation energy	27	meV/atom
# ΔE to the lowest computed polymorph	0	meV/atom
# total magnetization	0.00	Bohr magnetons per cell
data_TbY3Tm2
_cell_length_a 6.131
_cell_length_b 7.085
_cell_length_c 9.374
_cell_angle_alpha 112.20
_cell_angle_beta 89.98
_cell_angle_gamma 90.00
_symmetry_space_group_name_H-M 'P 1'
_symmetry_Int_Tables_number 1
loop_
_symmetry_equiv_pos_as_xyz
'x,y,z'
loop_
_atom_site_label
_atom_site_type_symbol
_atom_site_fract_x
_atom_site_fract_y
_atom_site_fract_z
Tb1 Tb 0.250 0.875 0.000
Y1 Y 0.750 0.625 0.000
Tm1 Tm 0.083 0.792 0.334
Y2 Y 0.250 0.375 0.000
Y3 Y 0.583 0.042 0.335
Tm2 Tm 0.917 0.208 0.666
Tm3 Tm 0.583 0.542 0.334
Tm4 Tm 0.417 0.458 0.666
Y4 Y 0.917 0.708 0.665
Y5 Y 0.417 0.958 0.665
Y6 Y 0.083 0.292 0.335
Tb2 Tb 0.750 0.125 0.000

# GGA-PBE Tb12Y2Tm, relaxed
# uncorrected energy	-4.789	eV/atom
# calculated formation energy	75	meV/atom
# total magnetization	0.00	Bohr magnetons per cell
data_Tb12Y2Tm
_cell_length_a 6.762
_cell_length_b 6.762
_cell_length_c 23.447
_cell_angle_alpha 92.41
_cell_angle_beta 87.59
_cell_angle_gamma 64.74
_symmetry_space_group_name_H-M 'P 1'
_symmetry_Int_Tables_number 1
loop_
_symmetry_equiv_pos_as_xyz
'x,y,z'
loop_
_atom_site_label
_atom_site_type_symbol
_atom_site_fract_x
_atom_site_fract_y
_atom_site_fract_z
Tb1 Tb 0.856 0.644 0.574
Y1 Y 0.571 0.929 0.716
Tm1 Tm 0.500 0.000 0.000
Tb2 Tb 0.213 0.287 0.145
Tb3 Tb 0.144 0.356 0.426
Tb4 Tb 0.799 0.200 0.808
Tb5 Tb 0.419 0.581 0.322
Tb6 Tb 0.300 0.701 0.808
Tb7 Tb 0.581 0.419 0.678
Y2 Y 0.429 0.071 0.284
Tb8 Tb 0.200 0.799 0.192
Tb9 Tb 0.640 0.361 0.442
Tm2 Tm 0.000 0.500 0.000
Tb10 Tb 0.701 0.300 0.192
Tb11 Tb 0.287 0.213 0.855
Tb12 Tb 0.361 0.640 0.558
Tb13 Tb 0.356 0.144 0.574
Tb14 Tb 0.713 0.787 0.145
Tb15 Tb 0.644 0.856 0.426
Tb16 Tb 0.139 0.860 0.442
Tb17 Tb 0.983 0.018 0.066
Y3 Y 0.071 0.429 0.716
Tb18 Tb 0.018 0.983 0.934
Y4 Y 0.929 0.571 0.284
Tb19 Tb 0.517 0.482 0.934
Tb20 Tb 0.919 0.081 0.322
Tb21 Tb 0.787 0.713 0.855
Tb22 Tb 0.482 0.517 0.066
Tb23 Tb 0.081 0.919 0.678
Tb24 Tb 0.860 0.139 0.558

# GGA-PBE Tb5Y4Tm2, relaxed
# uncorrected energy	-5.144	eV/atom
# calculated formation energy	124	meV/atom
# ΔE to the lowest computed polymorph	0	meV/atom
# total magnetization	0.00	Bohr magnetons per cell
data_Tb5Y4Tm2
_cell_length_a 6.604
_cell_length_b 6.604
_cell_length_c 9.256
_cell_angle_alpha 75.38
_cell_angle_beta 75.38
_cell_angle_gamma 66.68
_symmetry_space_group_name_H-M 'P 1'
_symmetry_Int_Tables_number 1
loop_
_symmetry_equiv_pos_as_xyz
'x,y,z'
loop_
_atom_site_label
_atom_site_type_symbol
_atom_site_fract_x
_atom_site_fract_y
_atom_site_fract_z
Y1 Y 0.331 0.331 0.121
Y2 Y 0.669 0.669 0.879
Tb1 Tb 0.211 0.656 0.776
Tb2 Tb 0.344 0.789 0.224
Y3 Y 0.689 0.688 0.497
Tm1 Tm 0.146 0.146 0.882
Y4 Y 0.311 0.312 0.503
Tb3 Tb 0.000 0.000 0.500
Tb4 Tb 0.789 0.344 0.224
Tm2 Tm 0.854 0.854 0.118
Tb5 Tb 0.656 0.211 0.776